The following is a PBE calculation of a geometry-optimized RbYZnHg2 structure, from Alexandria.

Summary:
Space group: No. 123
Total DFT energy (no corrections) (eV/atom): -0.89
DOS at the Fermi energy (states/eV/atom): 1.6254
Mass density (g/cm3): 3.510

Lattice parameters (Å, degrees): 6.520 6.520 7.132 90.00 90.00 90.00
Positions (direct):
1 Rb 0.000 0.000 0.000
2 Y 0.000 0.000 0.500
3 Zn 0.500 0.500 0.500
4 Hg 0.000 0.500 0.000
5 Hg 0.500 0.000 0.000